La2MnCl | meta-GGA SCAN | PBEsol geometry

magnetic moment	2.13	μB/f.u.
ΔE_f (raw)	-0.2	eV/f.u.
crystal system	cubic
density	6.49	g/cm3

abc: 5.1068 5.1068 5.1068
angles: 60.00 60.00 60.00
Site moments in Bohr magnetons follow the coordinates.
Fractional positions:
Mn  0.2500  0.2500  0.2500  3.93
La  0.7500  0.7500  0.7500  -0.52
La  0.0000  0.0000  0.0000  -0.65
Cl  0.5000  0.5000  0.5000  0.03



LaMn2Cl | meta-GGA SCAN | PBEsol geometry

magnetic moment	0.46	μB/f.u.
ΔE_f (raw)	-0.5	eV/f.u.
crystal system	orthorhombic
density	6.10	g/cm3

abc: 3.7030 5.0168 5.0168
angles: 67.97 68.34 68.34
Site moments in Bohr magnetons follow the coordinates.
Fractional positions:
Cl  0.4435  0.5565  0.5565  0.00
Mn  0.0654  0.9346  0.9346  -3.56
Mn  0.7458  0.7542  0.7542  3.34
La  0.2453  0.2547  0.2547  -0.05



LaMn2Cl | meta-GGA SCAN | PBEsol geometry

magnetic moment	0.83	μB/f.u.
ΔE_f (raw)	-2.1	eV/f.u.
crystal system	monoclinic
density	6.26	g/cm3

abc: 3.2148 3.1743 7.5596
angles: 90.00 102.34 90.00
Site moments in Bohr magnetons follow the coordinates.
Fractional positions:
Mn  0.5388  0.5000  0.2027  3.77
Mn  0.9644  0.0000  0.0537  -3.54
Cl  0.6774  0.0000  0.4805  0.01
La  0.3193  0.5000  0.7632  0.36



LaMn2Cl | meta-GGA SCAN | PBEsol geometry

magnetic moment	2.41	μB/f.u.
ΔE_f (raw)	0.8	eV/f.u.
crystal system	monoclinic
density	5.80	g/cm3

abc: 3.2988 4.5299 5.4412
angles: 90.00 90.00 90.13
Site moments in Bohr magnetons follow the coordinates.
Fractional positions:
La  0.5000  0.5000  0.5000  -0.09
Mn  0.7278  0.6431  0.0000  1.18
Mn  0.2722  0.3569  0.0000  1.18
Cl  0.0000  0.0000  0.5000  0.03